K2ReHg: relaxed, GGA-PBE.

Cell and atoms, written as POSCAR:
```
K2ReHg
1.0
2.9659 0.0000 0.0000
0.0000 4.5400 0.0000
0.0000 0.0000 9.9736
K Hg Re
2 1 1
direct
0.0000 0.0000 0.9175
0.5000 0.5000 0.3307
0.5000 0.5000 0.6606
0.0000 0.0000 0.5912
```

Values from the calculation:
VASP energy   -0.2068 Ry per atom
SG   Pmm2
DOS at the Fermi energy   3.5 states/eV/f.u.
DFT formation energy   923 meV per atom